# NbAsBr2 | Alexandria | PBE-GGA | optimized geometry
data_NbAsBr2
_chemical_formula_sum 'Nb3 As3 Br6'
_cell_length_a 3.2885
_cell_length_b 3.2885
_cell_length_c 29.5843
_cell_angle_alpha 90.00
_cell_angle_beta 90.00
_cell_angle_gamma 120.00
_space_group_name_H-M_alt 'R -3 m'
_space_group_IT_number 166
_space_group_name_Hall '-R 3 2"'
loop_
_atom_site_label
_atom_site_type_symbol
_atom_site_fract_x
_atom_site_fract_y
_atom_site_fract_z
Nb1 Nb 0.0000 0.0000 0.0000
As1 As 0.0000 0.0000 0.5000
Br1 Br 0.0000 0.0000 0.0838
# V in Å³ per cell: 277.07
# Magnetic moment in μB per cell: 0.00
# Crystal system: trigonal
# ΔE_f (raw) in eV/f.u.: 1.70